Computed, not measured: Cs3RbTl2F6 after structural relaxation at the PBE-GGA level of DFT.

a = 4.1708 Å, b = 8.3501 Å, c = 9.3292 Å
α = 103.03°, β = 102.92°, γ = 90.00°
Element x y z (fractional)
F1 0.9956 0.7577 0.9913
F2 0.0044 0.2423 0.0087
F3 0.6635 0.0915 0.3270
F4 0.6703 0.5721 0.3405
F5 0.3297 0.4279 0.6595
F6 0.3365 0.9085 0.6730
Cs1 0.5000 0.5000 0.0000
Cs2 0.8327 0.1686 0.6653
Cs3 0.1673 0.8314 0.3347
Tl1 0.8337 0.6671 0.6674
Tl2 0.1663 0.3329 0.3326
Rb1 0.5000 0.0000 0.0000

Summary:
D(E_F), states/eV/cell: 0.000
Energy relative to the elements, uncorrected, eV/atom: -2.337
E, eV/atom: -3.962
V, Å³/cell: 308.1